# CaMnZn

An optimized crystal structure of CaMnZn (GGA-PBEsol, Alexandria).

Lattice parameters (Å, degrees): 4.4239 4.4239 3.7042 90.00 90.00 120.00
With the nearest neighbours (Å) after each atom.
Fractional coordinates of all 3 atoms:
Ca 0.0000 0.0000 0.0000  6 Mn 3.15, 6 Zn 3.15
Mn 0.3333 0.6667 0.5000  3 Zn 2.55
Zn 0.6667 0.3333 0.5000  3 Mn 2.55

Computed properties:
DFT total energy: -4.21 eV/atom
formation energy from the elements: 0.8 eV per formula unit